Version 1
# CdAgTeO | OQMD via LeMat-Bulk | GGA-PBE | relaxed
# - Space group: No. 29
data_CdAgTeO
_symmetry_space_group_name_H-M 'P 1'
_symmetry_Int_Tables_number 1
_cell_length_a 6.9579
_cell_length_b 8.2196
_cell_length_c 5.9780
_cell_angle_alpha 90.00
_cell_angle_beta 90.00
_cell_angle_gamma 90.00
loop_
_symmetry_equiv_pos_as_xyz
'x,y,z'
loop_
_atom_site_label
_atom_site_type_symbol
_atom_site_fract_x
_atom_site_fract_y
_atom_site_fract_z
_atom_site_occupancy
Cd1 Cd 0.1124 0.0652 0.0000 1
Cd2 Cd 0.3876 0.0652 0.5000 1
Cd3 Cd 0.6124 0.9348 0.0000 1
Cd4 Cd 0.8876 0.9348 0.5000 1
Ag1 Ag 0.1915 0.6947 0.1465 1
Ag2 Ag 0.3085 0.6947 0.6465 1
Ag3 Ag 0.6915 0.3053 0.1465 1
Ag4 Ag 0.8085 0.3053 0.6465 1
Te1 Te 0.1916 0.3759 0.5509 1
Te2 Te 0.3084 0.3759 0.0509 1
Te3 Te 0.6916 0.6241 0.5509 1
Te4 Te 0.8084 0.6241 0.0509 1
O1 O 0.1558 0.9307 0.6878 1
O2 O 0.3442 0.9307 0.1878 1
O3 O 0.6558 0.0693 0.6878 1
O4 O 0.8442 0.0693 0.1878 1

Version 2
# CdAgTeO | OQMD via LeMat-Bulk | GGA-PBE | relaxed
# - Space group: No. 19
data_CdAgTeO
_symmetry_space_group_name_H-M 'P 1'
_symmetry_Int_Tables_number 1
_cell_length_a 5.9010
_cell_length_b 6.9267
_cell_length_c 8.3753
_cell_angle_alpha 90.00
_cell_angle_beta 90.00
_cell_angle_gamma 90.00
loop_
_symmetry_equiv_pos_as_xyz
'x,y,z'
loop_
_atom_site_label
_atom_site_type_symbol
_atom_site_fract_x
_atom_site_fract_y
_atom_site_fract_z
_atom_site_occupancy
Cd1 Cd 0.0695 0.0231 0.2251 1
Cd2 Cd 0.4305 0.9769 0.7251 1
Cd3 Cd 0.5695 0.4769 0.7749 1
Cd4 Cd 0.9305 0.5231 0.2749 1
Ag1 Ag 0.0313 0.3375 0.8717 1
Ag2 Ag 0.4687 0.6625 0.3717 1
Ag3 Ag 0.5313 0.1625 0.1283 1
Ag4 Ag 0.9687 0.8375 0.6283 1
Te1 Te 0.0443 0.7475 0.9434 1
Te2 Te 0.4557 0.2525 0.4434 1
Te3 Te 0.5443 0.7525 0.0566 1
Te4 Te 0.9557 0.2475 0.5566 1
O1 O 0.0911 0.7717 0.3754 1
O2 O 0.4089 0.2283 0.8754 1
O3 O 0.5911 0.7283 0.6246 1
O4 O 0.9089 0.2717 0.1246 1

The data favor version 1; the next most stable structure lies 69 meV per atom above it.

Version 1
# CdAgTeO | OQMD via LeMat-Bulk | GGA-PBE | relaxed
# - Space group: No. 129
data_CdAgTeO
_symmetry_space_group_name_H-M 'P 1'
_symmetry_Int_Tables_number 1
_cell_length_a 4.2270
_cell_length_b 4.2270
_cell_length_c 9.0124
_cell_angle_alpha 90.00
_cell_angle_beta 90.00
_cell_angle_gamma 90.00
loop_
_symmetry_equiv_pos_as_xyz
'x,y,z'
loop_
_atom_site_label
_atom_site_type_symbol
_atom_site_fract_x
_atom_site_fract_y
_atom_site_fract_z
_atom_site_occupancy
Cd1 Cd 0.2500 0.7500 0.0000 1
Cd2 Cd 0.7500 0.2500 0.0000 1
Ag1 Ag 0.2500 0.2500 0.2227 1
Ag2 Ag 0.7500 0.7500 0.7773 1
Te1 Te 0.2500 0.2500 0.6798 1
Te2 Te 0.7500 0.7500 0.3202 1
O1 O 0.2500 0.2500 0.4725 1
O2 O 0.7500 0.7500 0.5275 1

Version 2
# CdAgTeO | OQMD via LeMat-Bulk | GGA-PBE | relaxed
# - Space group: No. 129
data_CdAgTeO
_symmetry_space_group_name_H-M 'P 1'
_symmetry_Int_Tables_number 1
_cell_length_a 4.1528
_cell_length_b 4.1528
_cell_length_c 10.6430
_cell_angle_alpha 90.00
_cell_angle_beta 90.00
_cell_angle_gamma 90.00
loop_
_symmetry_equiv_pos_as_xyz
'x,y,z'
loop_
_atom_site_label
_atom_site_type_symbol
_atom_site_fract_x
_atom_site_fract_y
_atom_site_fract_z
_atom_site_occupancy
Cd1 Cd 0.2500 0.2500 0.1067 1
Cd2 Cd 0.7500 0.7500 0.8933 1
Ag1 Ag 0.2500 0.2500 0.7099 1
Ag2 Ag 0.7500 0.7500 0.2901 1
Te1 Te 0.2500 0.7500 0.5000 1
Te2 Te 0.7500 0.2500 0.5000 1
O1 O 0.2500 0.2500 0.9071 1
O2 O 0.7500 0.7500 0.0929 1

Version 3
# CdAgTeO | OQMD via LeMat-Bulk | GGA-PBE | relaxed
# - Space group: No. 186
data_CdAgTeO
_symmetry_space_group_name_H-M 'P 1'
_symmetry_Int_Tables_number 1
_cell_length_a 3.6863
_cell_length_b 3.6863
_cell_length_c 14.1583
_cell_angle_alpha 90.00
_cell_angle_beta 90.00
_cell_angle_gamma 120.00
loop_
_symmetry_equiv_pos_as_xyz
'x,y,z'
loop_
_atom_site_label
_atom_site_type_symbol
_atom_site_fract_x
_atom_site_fract_y
_atom_site_fract_z
_atom_site_occupancy
Cd1 Cd 0.3333 0.6667 0.0000 1
Cd2 Cd 0.6667 0.3333 0.5000 1
Ag1 Ag 0.0000 0.0000 0.1985 1
Ag2 Ag 0.0000 0.0000 0.6985 1
Te1 Te 0.3333 0.6667 0.3277 1
Te2 Te 0.6667 0.3333 0.8277 1
O1 O 0.0000 0.0000 0.0447 1
O2 O 0.0000 0.0000 0.5447 1

Version 4
# CdAgTeO | OQMD via LeMat-Bulk | GGA-PBE | relaxed
# - Space group: No. 61
data_CdAgTeO
_symmetry_space_group_name_H-M 'P 1'
_symmetry_Int_Tables_number 1
_cell_length_a 6.5876
_cell_length_b 14.9140
_cell_length_c 7.3873
_cell_angle_alpha 90.00
_cell_angle_beta 90.00
_cell_angle_gamma 90.00
loop_
_symmetry_equiv_pos_as_xyz
'x,y,z'
loop_
_atom_site_label
_atom_site_type_symbol
_atom_site_fract_x
_atom_site_fract_y
_atom_site_fract_z
_atom_site_occupancy
Cd1 Cd 0.0419 0.2459 0.1297 1
Cd2 Cd 0.0419 0.2541 0.6297 1
Cd3 Cd 0.4581 0.7459 0.1297 1
Cd4 Cd 0.4581 0.7541 0.6297 1
Cd5 Cd 0.5419 0.2459 0.3703 1
Cd6 Cd 0.5419 0.2541 0.8703 1
Cd7 Cd 0.9581 0.7459 0.3703 1
Cd8 Cd 0.9581 0.7541 0.8703 1
Ag1 Ag 0.2402 0.0709 0.9271 1
Ag2 Ag 0.2402 0.4291 0.4271 1
Ag3 Ag 0.2598 0.5709 0.9271 1
Ag4 Ag 0.2598 0.9291 0.4271 1
Ag5 Ag 0.7402 0.0709 0.5729 1
Ag6 Ag 0.7402 0.4291 0.0729 1
Ag7 Ag 0.7598 0.5709 0.5729 1
Ag8 Ag 0.7598 0.9291 0.0729 1
Te1 Te 0.0015 0.5519 0.2406 1
Te2 Te 0.0015 0.9481 0.7406 1
Te3 Te 0.4985 0.0519 0.2406 1
Te4 Te 0.4985 0.4481 0.7406 1
Te5 Te 0.5015 0.5519 0.2594 1
Te6 Te 0.5015 0.9481 0.7594 1
Te7 Te 0.9985 0.0519 0.2594 1
Te8 Te 0.9985 0.4481 0.7594 1
O1 O 0.2155 0.2230 0.8774 1
O2 O 0.2155 0.2770 0.3774 1
O3 O 0.2845 0.7230 0.8774 1
O4 O 0.2845 0.7770 0.3774 1
O5 O 0.7155 0.2230 0.6226 1
O6 O 0.7155 0.2770 0.1226 1
O7 O 0.7845 0.7230 0.6226 1
O8 O 0.7845 0.7770 0.1226 1

The data favor version 4; the next most stable structure lies 23 meV per atom above it.

Version 1
# CdAgTeO | OQMD via LeMat-Bulk | GGA-PBE | relaxed
# - Space group: No. 36
data_CdAgTeO
_symmetry_space_group_name_H-M 'P 1'
_symmetry_Int_Tables_number 1
_cell_length_a 3.5938
_cell_length_b 14.1048
_cell_length_c 6.5228
_cell_angle_alpha 90.00
_cell_angle_beta 90.00
_cell_angle_gamma 90.00
loop_
_symmetry_equiv_pos_as_xyz
'x,y,z'
loop_
_atom_site_label
_atom_site_type_symbol
_atom_site_fract_x
_atom_site_fract_y
_atom_site_fract_z
_atom_site_occupancy
Cd1 Cd 0.0000 0.1892 0.0000 1
Cd2 Cd 0.0000 0.8108 0.5000 1
Cd3 Cd 0.5000 0.3108 0.5000 1
Cd4 Cd 0.5000 0.6892 0.0000 1
Ag1 Ag 0.0000 0.4984 0.7758 1
Ag2 Ag 0.0000 0.5016 0.2758 1
Ag3 Ag 0.5000 0.0016 0.2758 1
Ag4 Ag 0.5000 0.9984 0.7758 1
Te1 Te 0.0000 0.1420 0.5271 1
Te2 Te 0.0000 0.8580 0.0271 1
Te3 Te 0.5000 0.3580 0.0271 1
Te4 Te 0.5000 0.6420 0.5271 1
O1 O 0.0000 0.4006 0.5242 1
O2 O 0.0000 0.5994 0.0242 1
O3 O 0.5000 0.0994 0.0242 1
O4 O 0.5000 0.9006 0.5242 1

Version 2
# CdAgTeO | OQMD via LeMat-Bulk | GGA-PBE | relaxed
# - Space group: No. 129
data_CdAgTeO
_symmetry_space_group_name_H-M 'P 1'
_symmetry_Int_Tables_number 1
_cell_length_a 4.2725
_cell_length_b 4.2725
_cell_length_c 9.3708
_cell_angle_alpha 90.00
_cell_angle_beta 90.00
_cell_angle_gamma 90.00
loop_
_symmetry_equiv_pos_as_xyz
'x,y,z'
loop_
_atom_site_label
_atom_site_type_symbol
_atom_site_fract_x
_atom_site_fract_y
_atom_site_fract_z
_atom_site_occupancy
Cd1 Cd 0.2500 0.2500 0.1354 1
Cd2 Cd 0.7500 0.7500 0.8646 1
Ag1 Ag 0.2500 0.2500 0.4614 1
Ag2 Ag 0.7500 0.7500 0.5386 1
Te1 Te 0.2500 0.2500 0.8257 1
Te2 Te 0.7500 0.7500 0.1743 1
O1 O 0.2500 0.7500 0.5000 1
O2 O 0.7500 0.2500 0.5000 1

Version 3
# CdAgTeO | OQMD via LeMat-Bulk | GGA-PBE | relaxed
# - Space group: No. 62
data_CdAgTeO
_symmetry_space_group_name_H-M 'P 1'
_symmetry_Int_Tables_number 1
_cell_length_a 6.9768
_cell_length_b 3.6154
_cell_length_c 13.3767
_cell_angle_alpha 90.00
_cell_angle_beta 90.00
_cell_angle_gamma 90.00
loop_
_symmetry_equiv_pos_as_xyz
'x,y,z'
loop_
_atom_site_label
_atom_site_type_symbol
_atom_site_fract_x
_atom_site_fract_y
_atom_site_fract_z
_atom_site_occupancy
Cd1 Cd 0.0288 0.2500 0.2475 1
Cd2 Cd 0.4712 0.7500 0.7475 1
Cd3 Cd 0.5288 0.2500 0.2525 1
Cd4 Cd 0.9712 0.7500 0.7525 1
Ag1 Ag 0.2371 0.2500 0.9480 1
Ag2 Ag 0.2629 0.7500 0.4480 1
Ag3 Ag 0.7371 0.2500 0.5520 1
Ag4 Ag 0.7629 0.7500 0.0520 1
Te1 Te 0.2265 0.2500 0.6021 1
Te2 Te 0.2735 0.7500 0.1021 1
Te3 Te 0.7265 0.2500 0.8979 1
Te4 Te 0.7735 0.7500 0.3979 1
O1 O 0.2241 0.7500 0.8433 1
O2 O 0.2759 0.2500 0.3433 1
O3 O 0.7241 0.7500 0.6567 1
O4 O 0.7759 0.2500 0.1567 1

The data favor version 3; the next most stable structure lies 13 meV per atom above it.